The following is a DFT calculation (PBE-GGA) of an optimized crystal structure of RbLiNi.

Calculated values
distance to the lowest polymorph of the same formula: 1.01 eV/f.u.

Lattice parameters (Å, degrees): 5.115 5.115 5.115 60.00 60.00 60.00
Atoms (fractional coordinates):
Li 0.250 0.250 0.250
Ni 0.750 0.750 0.750
Rb 0.000 0.000 0.000

---

The following is a DFT calculation (PBE-GGA) of an optimized crystal structure of RbLiNiTe.

Calculated values
distance to the lowest polymorph of the same formula: 1.00 eV/f.u.

Lattice parameters (Å, degrees): 5.333 5.333 5.333 60.00 60.00 60.00
Atoms (fractional coordinates):
Li 0.750 0.750 0.750
Ni 0.500 0.500 0.500
Rb 0.250 0.250 0.250
Te 0.000 0.000 0.000